The following is a PBE-GGA calculation of crystalline Ta2Ni at its relaxed geometry, from OQMD via LeMat-Bulk.

Properties
* crystal system: orthorhombic
* calculated formation energy: -0.26 eV/f.u.
* space group: Cmcm, No. 63

POSCAR file:
```
Ta2Ni
1.0
-4.9235 1.4321 0.3399
1.4219 -3.8968 -3.0332
-1.1269 -5.3934 6.4008
Ni Ta
4 8
Cartesian
-3.3616 -2.8463 -0.2042
-1.5714 -1.5862 1.1727
-1.2668 -5.0118 3.9117
-3.0571 -6.2720 2.5347
-0.7868 -3.6268 -0.4086
-1.7508 -1.2324 -1.3466
-4.3257 -1.8069 2.5268
-0.3028 -6.0512 1.1807
-2.3142 -3.9291 1.8537
-0.7123 -8.0113 3.5069
-3.8416 -4.2313 4.1161
-3.9161 0.1531 0.2006
```


The following is a PBE-GGA calculation of crystalline ScAl2Hg at its relaxed geometry, from OQMD via LeMat-Bulk.

Properties
* crystal system: orthorhombic
* energy: -0.2804 Ry per atom
* space group: Amm2, No. 38

POSCAR file:
```
ScAl2Hg
1.0
-2.4798 -1.9474 3.6514
3.9807 -4.5014 0.3028
4.8247 0.5243 3.5563
Al Sc Hg
4 2 2
Cartesian
7.4053 -3.3447 3.2454
2.2059 -3.9633 2.5714
2.6533 -1.2988 4.2963
0.1627 -1.6072 2.4404
4.6594 -3.6382 4.4111
2.9312 -1.3239 1.2846
4.9113 -3.5685 1.4323
5.3329 -1.0584 3.0573
```